Record 1
Compound: Be4CrIr
Source: Alexandria
Functional: PBEsol
Structure: relaxed

```
data_Be4CrIr
_chemical_formula_sum 'Be4 Cr1 Ir1'
_cell_length_a 4.287
_cell_length_b 4.287
_cell_length_c 4.287
_cell_angle_alpha 60.00
_cell_angle_beta 60.00
_cell_angle_gamma 60.00
_symmetry_space_group_name_H-M 'P 1'
_symmetry_Int_Tables_number 1
_symmetry_space_group_name_Hall 'P 1'
loop_
_atom_site_label
_atom_site_type_symbol
_atom_site_fract_x
_atom_site_fract_y
_atom_site_fract_z
Be1 Be 0.375 0.874 0.375
Be2 Be 0.874 0.375 0.375
Be3 Be 0.375 0.375 0.375
Be4 Be 0.375 0.375 0.874
Ir1 Ir 0.000 0.000 0.000
Cr1 Cr 0.750 0.750 0.750
```

The calculation puts the total DFT energy (no corrections) at -38.4 eV for the cell shown. The value obtained for the formation energy is -386 meV/atom. The space group is F-43m (216). As for the crystal system: cubic. The size of the total moment comes out at 2.65 μB per formula unit. Its density is 8.4 g/cm³.

Record 2
Compound: LaBeCr2Ir
Source: Alexandria
Functional: PBEsol
Structure: relaxed

```
data_LaBeCr2Ir
_chemical_formula_sum 'La1 Be1 Cr2 Ir1'
_cell_length_a 4.308
_cell_length_b 4.308
_cell_length_c 4.442
_cell_angle_alpha 90.00
_cell_angle_beta 90.00
_cell_angle_gamma 90.00
_symmetry_space_group_name_H-M 'P 1'
_symmetry_Int_Tables_number 1
_symmetry_space_group_name_Hall 'P 1'
loop_
_atom_site_label
_atom_site_type_symbol
_atom_site_fract_x
_atom_site_fract_y
_atom_site_fract_z
Be1 Be 0.000 0.000 0.500
La1 La 0.000 0.000 0.000
Cr1 Cr 0.000 0.500 0.000
Cr2 Cr 0.500 0.000 0.000
Ir1 Ir 0.500 0.500 0.500
```

The calculation puts the total DFT energy (no corrections) at -28.3 eV for the cell shown. The value obtained for the formation energy is 2278 meV/atom. The space group is P4/mmm (123). As for the crystal system: tetragonal. The size of the total moment comes out at 0.77 μB per formula unit. Its density is 8.9 g/cm³.

- What is the total DFT energy (no corrections) in the second record?
  -28.3 eV for the cell shown

- What is the formula in the first record?
  Be4CrIr